La4MgSe7 | PBE | relaxed

a b c (Å): 7.186 7.186 12.416
angles (deg): 105.07 105.07 33.94
Positions (direct):
1 La 0.000 0.000 0.000
2 La 0.195 0.195 0.766
3 La 0.578 0.578 0.353
4 La 0.886 0.886 0.554
5 Mg 0.770 0.770 0.137
6 Se 0.163 0.163 0.213
7 Se 0.223 0.223 0.513
8 Se 0.378 0.378 0.068
9 Se 0.547 0.547 0.615
10 Se 0.632 0.632 0.927
11 Se 0.850 0.850 0.778
12 Se 0.920 0.920 0.331

total magnetic moment = 0.000 μB per formula unit
formation energy without anion corrections = -1865.3 meV/atom
DFT total energy = -5.673 eV/atom